No. 1
Material: V2GaI
Method: DFT, PBE
State: optimized geometry

Cell lengths 4.535, 4.535, 4.535 Å; angles 60.00, 60.00, 60.00 degrees
Element x y z (fractional)
I (0.500, 0.500, 0.500)
Ga (0.000, 0.000, 0.000)
V (0.250, 0.250, 0.250)
V (0.750, 0.750, 0.750)

Computed properties:
- energy relative to the elements, uncorrected (meV/atom) = 567.9
- DOS at the Fermi energy (states/eV per atom) = 0.91
- volume (Å³ per cell) = 65.93
- energy (eV per cell) = -20.5
- space group = Fm-3m
- relative energy among the computed polymorphs (meV/atom) = 0.0

***

No. 2
Material: NaOsPd2
Method: DFT, PBE
State: optimized geometry

Cell lengths 4.496, 4.496, 4.496 Å; angles 60.00, 60.00, 60.00 degrees
Element x y z (fractional)
Na (0.000, 0.000, 0.000)
Pd (0.250, 0.250, 0.250)
Pd (0.750, 0.750, 0.750)
Os (0.500, 0.500, 0.500)

Computed properties:
- formation enthalpy at 0 K (kcal/mol of atoms) = 13.4
- DOS at the Fermi energy (states/eV per atom) = 1.23
- volume (Å³ per cell) = 64.27
- energy (eV per cell) = -20.6
- space group = Fm-3m
- relative energy among the computed polymorphs (meV/atom) = 0.0

***

No. 3
Material: LiZr2Be
Method: DFT, PBE
State: optimized geometry

Cell lengths 7.345, 7.345, 5.846 Å; angles 51.08, 51.08, 90.00 degrees
Element x y z (fractional)
Li (0.500, 0.500, 0.000)
Li (0.250, 0.750, 0.500)
Zr (0.375, 0.361, 0.750)
Zr (0.111, 0.625, 0.250)
Zr (0.875, 0.889, 0.750)
Zr (0.639, 0.125, 0.250)
Be (0.000, 0.000, 0.000)
Be (0.750, 0.250, 0.500)

Computed properties:
- formation enthalpy at 0 K (kcal/mol of atoms) = 9.8
- DOS at the Fermi energy (states/eV per atom) = 0.76
- volume (Å³ per cell) = 144.79
- energy (eV per cell) = -42.1
- space group = I-42d

***

No. 4
Material: KMgPaO4
Method: DFT, PBE
State: optimized geometry

Cell lengths 6.678, 6.808, 7.240 Å; angles 122.12, 90.00, 119.37 degrees
Element x y z (fractional)
Mg (0.000, 0.500, 0.500)
Mg (0.500, 0.500, 0.500)
K (0.853, 0.707, 0.103)
K (0.147, 0.293, 0.897)
O (0.293, 0.985, 0.743)
O (0.279, 0.558, 0.335)
O (0.721, 0.442, 0.665)
O (0.308, 0.015, 0.257)
O (0.279, 0.558, 0.723)
O (0.692, 0.985, 0.743)
O (0.721, 0.442, 0.277)
O (0.707, 0.015, 0.257)
Pa (0.500, 0.000, 0.500)
Pa (0.500, 0.000, 0.000)

Computed properties:
- energy relative to the elements, uncorrected (meV/atom) = -2845.7
- DOS at the Fermi energy (states/eV per atom) = 0.00
- volume (Å³ per cell) = 227.31
- energy (eV per cell) = -103.9
- space group = Imma

***

No. 5
Material: CePaMnN4
Method: DFT, PBE
State: optimized geometry

Cell lengths 3.757, 3.757, 6.593 Å; angles 106.55, 106.55, 90.00 degrees
Element x y z (fractional)
N (0.182, 0.182, 0.364)
N (0.495, 0.995, 0.990)
N (0.829, 0.829, 0.657)
N (0.995, 0.495, 0.990)
Mn (0.995, 0.995, 0.990)
Ce (0.643, 0.643, 0.285)
Pa (0.362, 0.362, 0.724)

Computed properties:
- energy relative to the elements, uncorrected (meV/atom) = -1170.8
- DOS at the Fermi energy (states/eV per atom) = 0.59
- volume (Å³ per cell) = 85.16
- energy (eV per cell) = -66.1
- space group = I4mm

***

No. 6
Material: PuZn3Pt2
Method: DFT, PBE
State: optimized geometry

Cell lengths 4.259, 7.049, 8.448 Å; angles 116.53, 90.00, 107.58 degrees
Element x y z (fractional)
Zn (0.297, 0.594, 0.476)
Zn (0.703, 0.406, 0.524)
Zn (0.405, 0.810, 0.285)
Zn (0.595, 0.190, 0.715)
Zn (0.049, 0.098, 0.379)
Zn (0.951, 0.902, 0.621)
Pt (0.793, 0.586, 0.281)
Pt (0.207, 0.414, 0.719)
Pt (0.556, 0.111, 0.186)
Pt (0.444, 0.889, 0.814)
Pu (0.862, 0.725, 0.978)
Pu (0.138, 0.275, 0.022)

Computed properties:
- formation enthalpy at 0 K (kcal/mol of atoms) = -11.6
- DOS at the Fermi energy (states/eV per atom) = 2.04
- volume (Å³ per cell) = 213.57
- energy (eV per cell) = -66.5
- space group = C2/m

***

No. 7
Material: CaPm4Ir4
Method: DFT, PBE
State: optimized geometry

Cell lengths 5.770, 9.053, 9.053 Å; angles 90.00, 90.00, 90.00 degrees
Element x y z (fractional)
Ir (0.380, 0.368, 0.220)
Ir (0.620, 0.220, 0.632)
Ir (0.120, 0.868, 0.720)
Ir (0.380, 0.632, 0.780)
Ir (0.120, 0.132, 0.280)
Ir (0.880, 0.280, 0.868)
Ir (0.620, 0.780, 0.368)
Ir (0.880, 0.720, 0.132)
Ca (0.500, 0.500, 0.500)
Ca (0.000, 0.000, 0.000)
Pm (0.618, 0.087, 0.323)
Pm (0.382, 0.677, 0.087)
Pm (0.618, 0.913, 0.677)
Pm (0.118, 0.177, 0.587)
Pm (0.882, 0.413, 0.177)
Pm (0.882, 0.587, 0.823)
Pm (0.118, 0.823, 0.413)
Pm (0.382, 0.323, 0.913)

Computed properties:
- formation enthalpy at 0 K (kcal/mol of atoms) = -11.1
- DOS at the Fermi energy (states/eV per atom) = 0.33
- volume (Å³ per cell) = 472.88
- energy (eV per cell) = -121.6
- space group = P4_2/n

***

No. 8
Material: Sc6SiP2Se3
Method: DFT, PBE
State: optimized geometry

Cell lengths 3.814, 7.727, 8.613 Å; angles 103.86, 102.79, 90.00 degrees
Element x y z (fractional)
Se (0.500, 0.500, 0.000)
Se (0.833, 0.168, 0.666)
Se (0.167, 0.832, 0.334)
Sc (0.328, 0.430, 0.655)
Sc (0.663, 0.096, 0.326)
Sc (0.672, 0.570, 0.345)
Sc (0.004, 0.242, 0.009)
Sc (0.337, 0.904, 0.674)
Sc (0.996, 0.758, 0.991)
Si (0.500, 0.000, 0.000)
P (0.167, 0.334, 0.334)
P (0.833, 0.666, 0.666)

Computed properties:
- energy relative to the elements, uncorrected (meV/atom) = -1486.1
- DOS at the Fermi energy (states/eV per atom) = 0.38
- volume (Å³ per cell) = 239.98
- energy (eV per cell) = -82.5
- space group = C2/m

***

No. 9
Material: MnFeCo2C
Method: DFT, PBE
State: optimized geometry

Cell lengths 3.738, 3.738, 3.813 Å; angles 90.00, 90.00, 90.00 degrees
Element x y z (fractional)
C (0.000, 0.000, 0.000)
Fe (0.500, 0.500, 0.500)
Co (0.000, 0.500, 0.000)
Co (0.500, 0.000, 0.000)
Mn (0.000, 0.000, 0.500)

Computed properties:
- formation enthalpy at 0 K (kcal/mol of atoms) = 2.4
- DOS at the Fermi energy (states/eV per atom) = 0.68
- volume (Å³ per cell) = 53.28
- energy (eV per cell) = -40.5
- space group = P4/mmm
- relative energy among the computed polymorphs (meV/atom) = 12.2

***

No. 10
Material: KIn2FeSb
Method: DFT, PBE
State: optimized geometry

Cell lengths 5.148, 5.148, 5.099 Å; angles 90.00, 90.00, 90.00 degrees
Element x y z (fractional)
Fe (0.000, 0.000, 0.000)
Sb (0.000, 0.000, 0.500)
K (0.500, 0.500, 0.500)
In (0.000, 0.500, 0.000)
In (0.500, 0.000, 0.000)

Computed properties:
- energy relative to the elements, uncorrected (meV/atom) = -5.9
- DOS at the Fermi energy (states/eV per atom) = 0.48
- volume (Å³ per cell) = 135.13
- energy (eV per cell) = -19.2
- space group = P4/mmm

***

No. 11
Material: LaMoSe2Br
Method: DFT, PBE
State: optimized geometry

Cell lengths 5.773, 5.773, 5.690 Å; angles 90.00, 90.00, 90.00 degrees
Element x y z (fractional)
La (0.000, 0.000, 0.000)
Se (0.500, 0.000, 0.000)
Se (0.000, 0.500, 0.000)
Br (0.000, 0.000, 0.500)
Mo (0.500, 0.500, 0.500)

Computed properties:
- energy relative to the elements, uncorrected (meV/atom) = 77.9
- DOS at the Fermi energy (states/eV per atom) = 1.06
- volume (Å³ per cell) = 189.60
- energy (eV per cell) = -24.0
- space group = P4/mmm
- relative energy among the computed polymorphs (meV/atom) = 675.7

***

No. 12
Material: Ta3TiC
Method: DFT, PBE
State: optimized geometry

Cell lengths 4.648, 4.648, 4.648 Å; angles 90.00, 90.00, 90.00 degrees
Element x y z (fractional)
Ta (0.000, 0.500, 0.000)
Ta (0.500, 0.000, 0.000)
Ta (0.000, 0.000, 0.500)
Ti (0.000, 0.000, 0.000)
C (0.500, 0.500, 0.500)

Computed properties:
- formation enthalpy at 0 K (kcal/mol of atoms) = 61.4
- DOS at the Fermi energy (states/eV per atom) = 1.45
- volume (Å³ per cell) = 100.43
- energy (eV per cell) = -39.4
- space group = Pm-3m
- relative energy among the computed polymorphs (meV/atom) = 2836.8

***

No. 13
Material: Zr2Al5ZnFe2
Method: DFT, PBE
State: optimized geometry

Cell lengths 4.000, 8.941, 8.941 Å; angles 90.00, 90.00, 90.00 degrees
Element x y z (fractional)
Fe (0.000, 0.113, 0.613)
Fe (0.000, 0.387, 0.113)
Fe (0.000, 0.613, 0.887)
Fe (0.000, 0.887, 0.387)
Al (0.500, 0.066, 0.787)
Al (0.500, 0.787, 0.934)
Al (0.500, 0.934, 0.213)
Al (0.500, 0.566, 0.713)
Al (0.500, 0.434, 0.287)
Al (0.500, 0.213, 0.066)
Al (0.500, 0.500, 0.000)
Al (0.500, 0.000, 0.500)
Al (0.500, 0.287, 0.566)
Al (0.500, 0.713, 0.434)
Zn (0.000, 0.000, 0.000)
Zn (0.000, 0.500, 0.500)
Zr (0.000, 0.321, 0.821)
Zr (0.000, 0.179, 0.321)
Zr (0.000, 0.679, 0.179)
Zr (0.000, 0.821, 0.679)

Computed properties:
- formation enthalpy at 0 K (kcal/mol of atoms) = -7.3
- DOS at the Fermi energy (states/eV per atom) = 0.85
- volume (Å³ per cell) = 319.76
- energy (eV per cell) = -114.4
- space group = P4/mbm

***

No. 14
Material: Li2Ac2GaO6
Method: DFT, PBE
State: optimized geometry

Cell lengths 5.710, 5.710, 5.933 Å; angles 61.23, 61.23, 60.00 degrees
Element x y z (fractional)
O (0.760, 0.760, 0.255)
O (0.760, 0.226, 0.255)
O (0.226, 0.760, 0.255)
O (0.240, 0.774, 0.745)
O (0.240, 0.240, 0.745)
O (0.774, 0.240, 0.745)
Ga (0.000, 0.000, 0.000)
Li (0.431, 0.431, 0.707)
Li (0.569, 0.569, 0.293)
Ac (0.772, 0.772, 0.684)
Ac (0.228, 0.228, 0.316)

Computed properties:
- energy relative to the elements, uncorrected (meV/atom) = -2261.1
- DOS at the Fermi energy (states/eV per atom) = 0.82
- volume (Å³ per cell) = 139.29
- energy (eV per cell) = -69.7
- space group = R-3m

***

No. 15
Material: KZr2Tc
Method: DFT, PBE
State: optimized geometry

Cell lengths 6.037, 6.167, 2.799 Å; angles 87.69, 77.80, 120.09 degrees
Element x y z (fractional)
Tc (0.500, 0.000, 0.500)
Zr (0.000, 0.000, 0.000)
Zr (0.000, 0.500, 0.500)
K (0.500, 0.500, 0.000)

Computed properties:
- formation enthalpy at 0 K (kcal/mol of atoms) = 21.2
- DOS at the Fermi energy (states/eV per atom) = 1.05
- volume (Å³ per cell) = 86.80
- energy (eV per cell) = -24.9
- space group = C2/m
- relative energy among the computed polymorphs (meV/atom) = 781.9

***

No. 16
Material: Ba2SrLaTi
Method: DFT, PBE
State: optimized geometry

Cell lengths 6.408, 5.722, 6.408 Å; angles 90.00, 90.00, 90.00 degrees
Element x y z (fractional)
Sr (0.500, 0.500, 0.500)
Ti (0.000, 0.000, 0.000)
La (0.000, 0.500, 0.000)
Ba (0.000, 0.000, 0.500)
Ba (0.500, 0.000, 0.000)

Computed properties:
- formation enthalpy at 0 K (kcal/mol of atoms) = 11.1
- DOS at the Fermi energy (states/eV per atom) = 1.18
- volume (Å³ per cell) = 234.91
- energy (eV per cell) = -15.9
- space group = P4/mmm

***

No. 17
Material: Tb2Zr3Sn4
Method: DFT, PBE
State: optimized geometry

Cell lengths 7.701, 7.892, 7.874 Å; angles 90.00, 90.00, 110.39 degrees
Element x y z (fractional)
Zr (0.000, 0.500, 0.500)
Zr (0.500, 0.500, 0.000)
Zr (0.746, 0.254, 0.825)
Zr (0.254, 0.746, 0.175)
Zr (0.246, 0.254, 0.675)
Zr (0.754, 0.746, 0.325)
Sn (0.849, 0.083, 0.536)
Sn (0.141, 0.515, 0.864)
Sn (0.151, 0.917, 0.464)
Sn (0.349, 0.083, 0.964)
Sn (0.651, 0.917, 0.036)
Sn (0.859, 0.485, 0.136)
Sn (0.641, 0.515, 0.636)
Sn (0.359, 0.485, 0.364)
Tb (0.942, 0.814, 0.830)
Tb (0.442, 0.814, 0.670)
Tb (0.558, 0.186, 0.330)
Tb (0.058, 0.186, 0.170)

Computed properties:
- formation enthalpy at 0 K (kcal/mol of atoms) = -15.7
- DOS at the Fermi energy (states/eV per atom) = 0.82
- volume (Å³ per cell) = 448.55
- energy (eV per cell) = -114.1
- space group = P2_1/c

***

No. 18
Material: LiSc2Zn
Method: DFT, PBE
State: optimized geometry

Cell lengths 10.554, 10.554, 10.554 Å; angles 17.30, 17.30, 17.30 degrees
Element x y z (fractional)
Sc (0.096, 0.096, 0.096)
Sc (0.904, 0.904, 0.904)
Zn (0.500, 0.500, 0.500)
Li (0.000, 0.000, 0.000)

Computed properties:
- formation enthalpy at 0 K (kcal/mol of atoms) = 2.2
- DOS at the Fermi energy (states/eV per atom) = 1.64
- volume (Å³ per cell) = 90.74
- energy (eV per cell) = -15.5
- space group = R-3m

***

No. 19
Material: Li2AgAu3
Method: DFT, PBE
State: optimized geometry

Cell lengths 6.376, 6.376, 5.496 Å; angles 90.05, 90.05, 98.43 degrees
Element x y z (fractional)
Li (0.068, 0.579, 0.251)
Li (0.579, 0.068, 0.751)
Li (0.421, 0.932, 0.249)
Li (0.932, 0.421, 0.749)
Au (0.310, 0.690, 0.750)
Au (0.298, 0.298, 0.000)
Au (0.690, 0.310, 0.250)
Au (0.298, 0.298, 0.500)
Au (0.702, 0.702, 0.500)
Au (0.702, 0.702, 0.000)
Ag (0.028, 0.972, 0.750)
Ag (0.972, 0.028, 0.250)

Computed properties:
- formation enthalpy at 0 K (kcal/mol of atoms) = -6.2
- DOS at the Fermi energy (states/eV per atom) = 0.26
- volume (Å³ per cell) = 221.01
- energy (eV per cell) = -36.2
- space group = C2/c

***

No. 20
Material: Pm3HoC8
Method: DFT, PBE
State: optimized geometry

Cell lengths 6.362, 6.362, 6.363 Å; angles 68.92, 73.70, 111.08 degrees
Element x y z (fractional)
C (0.062, 0.000, 0.618)
C (0.617, 0.679, 0.383)
C (0.382, 0.000, 0.938)
C (0.938, 0.321, 0.062)
C (0.608, 0.469, 0.392)
C (0.139, 0.531, 0.861)
C (0.392, 0.000, 0.139)
C (0.861, 0.000, 0.608)
Pm (0.250, 0.500, 0.250)
Pm (0.500, 0.000, 0.500)
Pm (0.750, 0.500, 0.750)
Ho (0.000, 0.000, 0.000)

Computed properties:
- formation enthalpy at 0 K (kcal/mol of atoms) = 3.3
- DOS at the Fermi energy (states/eV per atom) = 0.25
- volume (Å³ per cell) = 197.78
- energy (eV per cell) = -90.9
- space group = I-42m